# 1
DFT (PBE) results for Dy8Al2In after structural relaxation.

abc: 16.107 5.207 8.374
angles: 90.00 119.55 90.00
Space group C2/m (No. 12)
Asymmetric unit:
Dy 0.065 0.000 0.220
Dy 0.101 0.500 0.958
Dy 0.144 0.000 0.698
Dy 0.183 0.500 0.455
Al 0.224 0.000 0.122
In 0.000 0.500 0.500

As for the density of states at the Fermi level: 9.2 states/eV/f.u. The density comes out at 7.98 g/cm3. As for the calculated volume: 27.77 Å³/atom. The value obtained for the total DFT energy (no corrections) is -4.502 eV/atom. Its energy above the lowest structure with this stoichiometry is 0.0000 eV/atom.

# 2
DFT (PBE) results for Dy8Al2In after structural relaxation.

abc: 4.994 8.378 14.659
angles: 90.00 90.00 90.00
Space group Immm (No. 71)
Asymmetric unit:
Dy 0.000 0.000 0.146
Dy 0.000 0.215 0.339
Dy 0.000 0.311 0.000
Al 0.000 0.500 0.193
In 0.000 0.500 0.500

As for the density of states at the Fermi level: 12.9 states/eV/f.u. The density comes out at 7.95 g/cm3. As for the calculated volume: 27.87 Å³/atom. The value obtained for the total DFT energy (no corrections) is -4.458 eV/atom. Its energy above the lowest structure with this stoichiometry is 0.0440 eV/atom.